1.
Below is MnGe3Rh after structural relaxation, with properties calculated at the PBE-GGA level.

Lattice parameters (Å, degrees): 4.4814 4.4814 4.4814 90.00 90.00 90.00
Positions (direct):
1 Ge 0.5000 0.0000 0.0000
2 Ge 0.0000 0.0000 0.5000
3 Ge 0.0000 0.5000 0.0000
4 Rh 0.5000 0.5000 0.5000
5 Mn 0.0000 0.0000 0.0000

Results
Magnetization (μB/f.u.): 0.0
Energy of formation (meV per atom): 480.0
SG: No. 221
Energy relative to the lowest polymorph listed for this composition (meV/atom): 0

2.
Below is Mn5GeRh6 after structural relaxation, with properties calculated at the PBE-GGA level.

Lattice parameters (Å, degrees): 4.2954 7.4425 7.4425 120.09 106.75 106.75
Last column: magnetic moment on the atom in μB.
Positions (direct):
1 Ge 0.0000 0.0000 0.0000  -0.03
2 Mn 0.5000 0.5000 0.5000  3.56
3 Mn 0.5000 0.1692 0.8308  3.50
4 Mn 0.5000 0.8308 0.1692  3.50
5 Mn 0.0000 0.6659 0.3341  3.57
6 Mn 0.0000 0.3341 0.6659  3.57
7 Rh 0.2478 0.4135 0.0821  0.51
8 Rh 0.7522 0.5865 0.9179  0.51
9 Rh 0.7456 0.2459 0.2459  0.45
10 Rh 0.2544 0.7541 0.7541  0.45
11 Rh 0.2478 0.0821 0.4135  0.51
12 Rh 0.7522 0.9179 0.5865  0.51

Results
Magnetization (μB/f.u.): 21.1
Energy of formation (meV per atom): -285.6
SG: No. 71

3.
Below is MnGeRh after structural relaxation, with properties calculated at the PBE-GGA level.

Lattice parameters (Å, degrees): 7.4526 7.4526 7.4526 127.38 122.96 81.31
Last column: magnetic moment on the atom in μB.
Positions (direct):
1 Mn 0.0574 0.6038 0.0464  3.62
2 Mn 0.2587 0.4140 0.6553  3.57
3 Mn 0.7413 0.3967 0.1553  3.57
4 Mn 0.9426 0.9890 0.5464  3.62
5 Mn 0.5328 0.5592 0.5264  3.53
6 Mn 0.4672 0.9936 0.0264  3.53
7 Ge 0.1600 0.6637 0.4895  -0.12
8 Ge 0.6742 0.6637 0.0037  -0.12
9 Ge 0.2780 0.0288 0.2507  -0.03
10 Ge 0.3258 0.3295 0.9895  -0.12
11 Ge 0.7220 0.9727 0.7507  -0.03
12 Ge 0.8400 0.3295 0.5037  -0.12
13 Rh 0.3371 0.0008 0.5955  0.28
14 Rh 0.0000 0.7398 0.7398  0.28
15 Rh 0.9053 0.0008 0.1637  0.28
16 Rh 0.5000 0.7398 0.2398  0.28
17 Rh 0.0947 0.2584 0.0955  0.28
18 Rh 0.6629 0.2584 0.6637  0.28

Results
Magnetization (μB/f.u.): 3.9
Energy of formation (meV per atom): -374.1
SG: No. 46

4.
Below is MnGeRh after structural relaxation, with properties calculated at the PBE-GGA level.

Lattice parameters (Å, degrees): 6.5531 6.5531 3.6027 90.00 90.00 120.00
Last column: magnetic moment on the atom in μB.
Positions (direct):
1 Ge 0.6667 0.3333 0.0000  -0.13
2 Ge 0.0000 0.0000 0.5000  -0.02
3 Ge 0.3333 0.6667 0.0000  -0.13
4 Rh 0.2586 0.0000 0.0000  0.27
5 Rh 0.7414 0.7414 0.0000  0.27
6 Rh 0.0000 0.2586 0.0000  0.27
7 Mn 0.4077 0.4077 0.5000  3.62
8 Mn 0.5923 0.0000 0.5000  3.62
9 Mn 0.0000 0.5923 0.5000  3.62

Results
Magnetization (μB/f.u.): 3.9
Energy of formation (meV per atom): -365.5
SG: No. 189

Q: Look up the energy of formation of the third one.
A: -374.1 meV per atom